# LiYHRu2

Crystalline LiYHRu2 at its relaxed geometry (GGA-PBE, Alexandria).

- N(E_F) (states/eV/cell) = 5.4
- uncorrected energy (eV/cell) = -30.172
- M_tot (μB/cell) = 0.00

abc: 3.959 4.442 3.959
angles: 90.00 90.00 90.00
Sites, in units of the cell vectors:
Ru1 0.500 0.000 0.000
Ru2 0.000 0.000 0.500
Li1 0.500 0.500 0.500
H1 0.000 0.000 0.000
Y1 0.000 0.500 0.000